Compound: ZrAg3S
Source: the Alexandria database
Functional: SCAN
Structure: PBEsol geometry

```
ZrAg3S
1.0
5.121 0.000 0.000
0.000 5.121 0.000
0.000 0.000 5.121
S Zr Ag
1 1 3
Direct
0.500 0.500 0.500
0.000 0.000 0.000
0.000 0.500 0.000
0.000 0.000 0.500
0.500 0.000 0.000
```

Values from the calculation:
ΔE_f (raw) = 1.525 eV/atom
theoretical density = 5.53 g/cm3
size of the total moment = 1.796 Bohr magnetons per cell
total energy = -25.360 eV per atom


Compound: NiAgMo2
Source: the Alexandria database
Functional: SCAN
Structure: PBEsol geometry

```
NiAgMo2
1.0
2.633 0.000 0.000
0.000 2.633 0.000
0.000 0.000 8.170
Ag Mo Ni
1 2 1
Direct
0.500 0.500 0.500
0.000 0.000 0.775
0.000 0.000 0.225
0.500 0.500 0.000
```

Values from the calculation:
energy relative to the elements = 315 meV per atom
theoretical density = 10.51 g/cm3
size of the total moment = 0.000 Bohr magnetons per cell
total energy = -29.013 eV per atom
excess energy over the best structure of this formula in the dataset = 0.00 kcal/mol of atoms


Compound: Al3Au8
Source: the Alexandria database
Functional: SCAN
Structure: PBEsol geometry

```
Al3Au8
1.0
7.716 0.000 0.000
3.858 6.682 0.000
3.858 2.227 13.942
Al Au
12 32
Direct
0.500 0.500 0.500
0.000 0.000 0.000
0.345 0.345 0.966
0.155 0.155 0.534
0.655 0.655 0.034
0.845 0.845 0.466
0.434 0.750 0.750
0.750 0.066 0.750
0.066 0.434 0.750
0.566 0.250 0.250
0.250 0.934 0.250
0.934 0.566 0.250
0.283 0.283 0.152
0.217 0.217 0.348
0.717 0.717 0.848
0.783 0.783 0.652
0.565 0.565 0.306
0.935 0.935 0.194
0.435 0.435 0.694
0.065 0.065 0.806
0.851 0.496 0.448
0.496 0.204 0.448
0.204 0.851 0.448
0.004 0.649 0.052
0.296 0.004 0.052
0.649 0.296 0.052
0.149 0.504 0.552
0.504 0.796 0.552
0.796 0.149 0.552
0.996 0.351 0.948
0.704 0.996 0.948
0.351 0.704 0.948
0.883 0.155 0.345
0.155 0.618 0.345
0.618 0.883 0.345
0.345 0.617 0.155
0.882 0.345 0.155
0.617 0.882 0.155
0.117 0.845 0.655
0.845 0.382 0.655
0.382 0.117 0.655
0.655 0.383 0.845
0.118 0.655 0.845
0.383 0.118 0.845
```

Values from the calculation:
energy relative to the elements = -400 meV per atom
theoretical density = 15.31 g/cm3
size of the total moment = 0.000 Bohr magnetons per cell
total energy = -52.810 eV per atom


Compound: Tc2Ag2Ir
Source: the Alexandria database
Functional: SCAN
Structure: PBEsol geometry

```
Tc2Ag2Ir
1.0
-0.521 0.835 3.223
-2.352 -2.402 0.242
6.506 -3.974 0.320
Ag Ir Tc
2 1 2
Direct
0.597 0.597 0.194
0.403 0.403 0.806
0.000 0.000 0.000
0.250 0.750 0.500
0.750 0.250 0.500
```

Values from the calculation:
energy relative to the elements = 1071 meV per atom
theoretical density = 12.18 g/cm3
size of the total moment = 0.001 Bohr magnetons per cell
total energy = -39.720 eV per atom


Compound: La2Au
Source: the Alexandria database
Functional: SCAN
Structure: PBEsol geometry

```
La2Au
1.0
6.126 -0.044 0.000
-2.471 5.606 0.000
-1.828 -2.781 5.143
Au La
2 4
Direct
0.250 0.250 0.000
0.750 0.750 0.000
0.673 0.173 0.846
0.173 0.327 0.500
0.827 0.673 0.500
0.327 0.827 0.154
```

Values from the calculation:
energy relative to the elements = -687 meV per atom
theoretical density = 8.96 g/cm3
size of the total moment = 0.000 Bohr magnetons per cell
total energy = -52.476 eV per atom


Compound: LiZnW3
Source: the Alexandria database
Functional: SCAN
Structure: PBEsol geometry

```
LiZnW3
1.0
-2.223 2.024 -2.899
-1.440 -3.645 -1.441
-3.229 0.233 2.638
Zn W Li
1 3 1
Direct
0.500 0.500 0.500
0.000 0.500 0.000
0.000 0.000 0.500
0.500 0.000 0.000
0.000 0.000 0.000
```

Values from the calculation:
energy relative to the elements = 1577 meV per atom
theoretical density = 14.23 g/cm3
size of the total moment = 0.000 Bohr magnetons per cell
total energy = -43.417 eV per atom


Compound: Sr3AlO4F
Source: the Alexandria database
Functional: SCAN
Structure: PBEsol geometry

```
Sr3AlO4F
1.0
6.719 0.000 0.000
-3.359 6.506 -0.018
0.000 3.485 5.744
Al F O Sr
2 2 8 6
Direct
0.250 0.500 0.250
0.750 0.500 0.750
0.500 0.000 0.500
0.000 0.000 0.000
0.996 0.705 0.792
0.708 0.705 0.504
0.208 0.705 0.292
0.496 0.705 0.004
0.504 0.295 0.996
0.792 0.295 0.708
0.292 0.295 0.496
0.004 0.295 0.208
0.250 0.500 0.750
0.750 0.500 0.250
0.667 0.000 0.167
0.333 0.000 0.833
0.833 0.000 0.667
0.167 0.000 0.333
```

Values from the calculation:
ΔE_f (raw) = -3.374 eV/atom
theoretical density = 4.92 g/cm3
size of the total moment = 0.000 Bohr magnetons per cell
total energy = -14.823 eV per atom


Compound: Ni2Sb2P
Source: the Alexandria database
Functional: SCAN
Structure: PBEsol geometry

```
Ni2Sb2P
1.0
-1.211 -3.213 -0.971
2.767 1.458 -1.718
9.778 -6.720 10.048
Ni P Sb
4 2 4
Direct
0.000 0.000 0.824
0.000 0.000 0.324
0.000 0.000 0.176
0.000 0.000 0.676
0.667 0.333 0.750
0.333 0.667 0.250
0.667 0.333 0.418
0.333 0.667 0.918
0.333 0.667 0.582
0.667 0.333 0.082
```

Values from the calculation:
ΔE_f (raw) = -0.219 eV/atom
theoretical density = 7.59 g/cm3
size of the total moment = 0.000 Bohr magnetons per cell
total energy = -23.672 eV per atom


Compound: Cr2CdCoPb
Source: the Alexandria database
Functional: SCAN
Structure: PBEsol geometry

```
Cr2CdCoPb
1.0
-4.584 -2.239 0.623
0.031 -1.436 -4.935
2.385 -4.513 1.328
Pb Cr Co Cd
1 2 1 1
Direct
0.000 0.000 0.000
0.000 0.500 0.000
0.500 0.000 0.000
0.500 0.500 0.500
0.000 0.000 0.500
```

Values from the calculation:
energy relative to the elements = 1387 meV per atom
theoretical density = 5.75 g/cm3
size of the total moment = 10.903 Bohr magnetons per cell
total energy = -30.667 eV per atom


Compound: Mg4Rh
Source: the Alexandria database
Functional: SCAN
Structure: PBEsol geometry

```
Mg4Rh
1.0
3.604 0.000 0.000
0.000 3.604 0.000
-1.802 -1.802 7.839
Mg Rh
4 1
Direct
0.750 0.250 0.500
0.250 0.750 0.500
0.585 0.585 0.170
0.415 0.415 0.830
0.000 0.000 0.000
```

Values from the calculation:
energy relative to the elements = 258 meV per atom
theoretical density = 3.26 g/cm3
size of the total moment = 0.000 Bohr magnetons per cell
total energy = -10.475 eV per atom


Compound: ScHgMo2
Source: the Alexandria database
Functional: SCAN
Structure: PBEsol geometry

```
ScHgMo2
1.0
2.899 0.000 0.016
0.000 4.226 0.000
-1.074 0.000 5.731
Hg Mo Sc
1 2 1
Direct
0.514 0.500 0.749
0.112 0.000 0.032
0.453 0.500 0.231
0.921 0.000 0.488
```

Values from the calculation:
energy relative to the elements = 83 meV per atom
theoretical density = 10.33 g/cm3
size of the total moment = 0.000 Bohr magnetons per cell
total energy = -37.960 eV per atom


Compound: La2NiAu
Source: the Alexandria database
Functional: SCAN
Structure: PBEsol geometry

```
La2NiAu
1.0
3.589 0.000 0.000
0.000 3.587 0.147
0.000 -0.295 7.203
Ni Au La
1 1 2
Direct
0.500 0.500 0.500
0.500 0.500 0.000
0.000 0.000 0.729
0.000 0.000 0.271
```

Values from the calculation:
energy relative to the elements = -576 meV per atom
theoretical density = 9.54 g/cm3
size of the total moment = 0.000 Bohr magnetons per cell
total energy = -43.461 eV per atom